FeI3: optimized geometry, GGA-PBE.

Output
**Magnetization**: 19.99 μB/cell
**Total energy**: -3.3695 eV/atom

The structure in CIF format:
```
data_FeI3
_cell_length_a 9.908
_cell_length_b 6.285
_cell_length_c 12.360
_cell_angle_alpha 90.00
_cell_angle_beta 107.96
_cell_angle_gamma 90.00
_symmetry_space_group_name_H-M 'P 1 21/c 1'
_symmetry_Int_Tables_number 14
_symmetry_space_group_name_Hall '-P 2ybc'
loop_
_atom_site_label
_atom_site_fract_x
_atom_site_fract_y
_atom_site_fract_z
_atom_site_occupancy
Fe1 0.184 0.000 0.045 1
I1 0.000 0.227 0.117 1
I2 0.328 0.236 0.963 1
I3 0.328 0.735 0.700 1
```